No. 1
# La2BeAg, optimized geometry, DFT PBE
# ΔE_f: 0.219 eV per atom
# Calculated total energy: -3.8890 eV/atom
# Volume: 28.05 Å³/atom
data_La2BeAg
_chemical_formula_sum 'La6 Be3 Ag3'
_symmetry_space_group_name_H-M 'R -3 m'
_symmetry_Int_Tables_number 166
_symmetry_space_group_name_Hall '-R 3 2"'
_cell_length_a 3.8367
_cell_length_b 3.8367
_cell_length_c 26.4053
_cell_angle_alpha 90.00
_cell_angle_beta 90.00
_cell_angle_gamma 120.00
loop_
_atom_site_label
_atom_site_type_symbol
_atom_site_fract_x
_atom_site_fract_y
_atom_site_fract_z
_atom_site_occupancy
La1 La 0.0000 0.0000 0.2421 1
Be1 Be 0.0000 0.0000 0.5000 1
Ag1 Ag 0.0000 0.0000 0.0000 1

***

No. 2
# K6Rb2Tl, optimized geometry, DFT PBE
# ΔE_f: 0.001 eV per atom
# Calculated total energy: -1.2082 eV/atom
# Volume: 69.11 Å³/atom
data_K6Rb2Tl
_chemical_formula_sum 'K24 Rb8 Tl4'
_symmetry_space_group_name_H-M 'C 1 2/c 1'
_symmetry_Int_Tables_number 15
_cell_length_a 12.7231
_cell_length_b 18.2790
_cell_length_c 10.7705
_cell_angle_alpha 90.00
_cell_angle_beta 96.66
_cell_angle_gamma 90.00
loop_
_symmetry_equiv_pos_as_xyz
'x,y,z'
'-x,-y,-z'
'-x,y,-z+1/2'
'x,-y,z+1/2'
'x+1/2,y+1/2,z'
'-x+1/2,-y+1/2,-z'
'-x+1/2,y+1/2,-z+1/2'
'x+1/2,-y+1/2,z+1/2'
loop_
_atom_site_label
_atom_site_type_symbol
_atom_site_fract_x
_atom_site_fract_y
_atom_site_fract_z
_atom_site_occupancy
K1 K 0.0578 0.1196 0.4454 1
K2 K 0.1921 0.2015 0.8092 1
K3 K 0.2421 0.4667 0.8246 1
Rb1 Rb 0.0340 0.3655 0.4814 1
Tl1 Tl 0.0000 0.0464 0.7500 1

***

No. 3
# LiYBe2, optimized geometry, DFT PBE
# ΔE_f: 0.303 eV per atom
# Calculated total energy: -3.6546 eV/atom
# Volume: 16.39 Å³/atom
# Energy above the most stable polymorph in this dataset: 0.158 eV per atom
data_LiYBe2
_chemical_formula_sum 'Li1 Y1 Be2'
_symmetry_space_group_name_H-M 'P m m 2'
_symmetry_Int_Tables_number 25
_cell_length_a 2.8653
_cell_length_b 3.0406
_cell_length_c 7.5229
_cell_angle_alpha 90.00
_cell_angle_beta 90.00
_cell_angle_gamma 90.00
loop_
_symmetry_equiv_pos_as_xyz
'x,y,z'
'-x,-y,z'
'-x,y,z'
'x,-y,z'
loop_
_atom_site_label
_atom_site_type_symbol
_atom_site_fract_x
_atom_site_fract_y
_atom_site_fract_z
_atom_site_occupancy
Li1 Li 0.0000 0.0000 0.0000 1
Y1 Y 0.5000 0.5000 0.6294 1
Be1 Be 0.0000 0.0000 0.3472 1
Be2 Be 0.5000 0.5000 0.2342 1

***

No. 4
# Sr3Ac2UN6, optimized geometry, DFT PBE
# ΔE_f (raw): -13.06 eV per formula unit
# Calculated total energy: -7.2970 eV/atom
# Volume: 18.87 Å³/atom
data_Sr3Ac2UN6
_chemical_formula_sum 'Sr6 Ac4 U2 N12'
_symmetry_space_group_name_H-M 'C 1 2/m 1'
_symmetry_Int_Tables_number 12
_cell_length_a 6.5360
_cell_length_b 11.3872
_cell_length_c 6.4590
_cell_angle_alpha 90.00
_cell_angle_beta 109.62
_cell_angle_gamma 90.00
loop_
_symmetry_equiv_pos_as_xyz
'x,y,z'
'-x,-y,-z'
'-x,y,-z'
'x,-y,z'
'x+1/2,y+1/2,z'
'-x+1/2,-y+1/2,-z'
'-x+1/2,y+1/2,-z'
'x+1/2,-y+1/2,z'
loop_
_atom_site_label
_atom_site_type_symbol
_atom_site_fract_x
_atom_site_fract_y
_atom_site_fract_z
_atom_site_occupancy
Sr1 Sr 0.0000 0.0000 0.0000 1
Sr2 Sr 0.0000 0.3437 0.0000 1
Ac1 Ac 0.0000 0.1674 0.5000 1
U1 U 0.0000 0.5000 0.5000 1
N1 N 0.2115 0.3584 0.7101 1
N2 N 0.2210 0.5000 0.2908 1

***

No. 5
# K2Na2Cd, optimized geometry, DFT PBE
# ΔE_f: 0.065 eV per atom
# Calculated total energy: -1.0843 eV/atom
# Volume: 46.78 Å³/atom
# Energy above the most stable polymorph in this dataset: 0.065 eV per atom
data_K2Na2Cd
_chemical_formula_sum 'K4 Na4 Cd2'
_symmetry_space_group_name_H-M 'I 4/m m m'
_symmetry_Int_Tables_number 139
_symmetry_space_group_name_Hall '-I 4 2'
_cell_length_a 4.6025
_cell_length_b 4.6025
_cell_length_c 22.0823
_cell_angle_alpha 90.00
_cell_angle_beta 90.00
_cell_angle_gamma 90.00
loop_
_atom_site_label
_atom_site_type_symbol
_atom_site_fract_x
_atom_site_fract_y
_atom_site_fract_z
_atom_site_occupancy
K1 K 0.0000 0.0000 0.0925 1
Na1 Na 0.0000 0.5000 0.2500 1
Cd1 Cd 0.0000 0.0000 0.5000 1

***

No. 6
# ZrP2Au, optimized geometry, DFT PBE
# ΔE_f: -0.149 eV per atom
# Calculated total energy: -5.8101 eV/atom
# Volume: 18.07 Å³/atom
# Energy above the most stable polymorph in this dataset: 0.389 eV per atom
data_ZrP2Au
_chemical_formula_sum 'Zr2 P4 Au2'
_symmetry_space_group_name_H-M 'C 1 2/m 1'
_symmetry_Int_Tables_number 12
_cell_length_a 6.0283
_cell_length_b 8.1343
_cell_length_c 3.2483
_cell_angle_alpha 90.00
_cell_angle_beta 114.80
_cell_angle_gamma 90.00
loop_
_symmetry_equiv_pos_as_xyz
'x,y,z'
'-x,-y,-z'
'-x,y,-z'
'x,-y,z'
'x+1/2,y+1/2,z'
'-x+1/2,-y+1/2,-z'
'-x+1/2,y+1/2,-z'
'x+1/2,-y+1/2,z'
loop_
_atom_site_label
_atom_site_type_symbol
_atom_site_fract_x
_atom_site_fract_y
_atom_site_fract_z
_atom_site_occupancy
Zr1 Zr 0.0000 0.0000 0.0000 1
P1 P 0.2500 0.2500 0.5000 1
Au1 Au 0.0000 0.5000 0.0000 1

***

No. 7
# Pm4CdHg, optimized geometry, DFT PBE
# ΔE_f: -0.253 eV per atom
# Calculated total energy: -3.6224 eV/atom
# Volume: 30.23 Å³/atom
# Energy above the most stable polymorph in this dataset: 0.000 eV per atom
data_Pm4CdHg
_chemical_formula_sum 'Pm4 Cd1 Hg1'
_symmetry_space_group_name_H-M 'P 4/m m m'
_symmetry_Int_Tables_number 123
_symmetry_space_group_name_Hall '-P 4 2'
_cell_length_a 3.7275
_cell_length_b 3.7275
_cell_length_c 13.0540
_cell_angle_alpha 90.00
_cell_angle_beta 90.00
_cell_angle_gamma 90.00
loop_
_atom_site_label
_atom_site_type_symbol
_atom_site_fract_x
_atom_site_fract_y
_atom_site_fract_z
_atom_site_occupancy
Pm1 Pm 0.0000 0.0000 0.1527 1
Pm2 Pm 0.5000 0.5000 0.3446 1
Cd1 Cd 0.0000 0.0000 0.5000 1
Hg1 Hg 0.5000 0.5000 0.0000 1

***

No. 8
# Rb4MgCd3Cl12, optimized geometry, DFT PBE
# ΔE_f (raw): -31.06 eV per formula unit
# Calculated total energy: -3.0716 eV/atom
# Volume: 28.59 Å³/atom
data_Rb4MgCd3Cl12
_chemical_formula_sum 'Rb8 Mg2 Cd6 Cl24'
_symmetry_space_group_name_H-M 'I m -3 m'
_symmetry_Int_Tables_number 229
_symmetry_space_group_name_Hall '-I 4 2 3'
_cell_length_a 10.4574
_cell_length_b 10.4574
_cell_length_c 10.4574
_cell_angle_alpha 90.00
_cell_angle_beta 90.00
_cell_angle_gamma 90.00
loop_
_atom_site_label
_atom_site_type_symbol
_atom_site_fract_x
_atom_site_fract_y
_atom_site_fract_z
_atom_site_occupancy
Rb1 Rb 0.2500 0.2500 0.2500 1
Mg1 Mg 0.0000 0.0000 0.0000 1
Cd1 Cd 0.0000 0.0000 0.5000 1
Cl1 Cl 0.0000 0.0000 0.2430 1
Cl2 Cl 0.0000 0.2500 0.5000 1

***

No. 9
# CaAc2LaTe4, optimized geometry, DFT PBE
# ΔE_f (raw): -12.31 eV per formula unit
# Calculated total energy: -5.0024 eV/atom
# Volume: 35.39 Å³/atom
data_CaAc2LaTe4
_chemical_formula_sum 'Ca1 Ac2 La1 Te4'
_symmetry_space_group_name_H-M 'P 1 2/m 1'
_symmetry_Int_Tables_number 10
_cell_length_a 8.0528
_cell_length_b 4.6156
_cell_length_c 8.0620
_cell_angle_alpha 90.00
_cell_angle_beta 109.13
_cell_angle_gamma 90.00
loop_
_symmetry_equiv_pos_as_xyz
'x,y,z'
'-x,-y,-z'
'-x,y,-z'
'x,-y,z'
loop_
_atom_site_label
_atom_site_type_symbol
_atom_site_fract_x
_atom_site_fract_y
_atom_site_fract_z
_atom_site_occupancy
Ca1 Ca 0.0000 0.0000 0.0000 1
Ac1 Ac 0.5000 0.0000 0.5000 1
Ac2 Ac 0.5000 0.5000 0.0000 1
La1 La 0.0000 0.5000 0.5000 1
Te1 Te 0.2339 0.5000 0.2400 1
Te2 Te 0.2366 0.0000 0.7509 1

***

No. 10
# NaPuF4, optimized geometry, DFT PBE
# ΔE_f (raw): -19.74 eV per formula unit
# Calculated total energy: -7.1462 eV/atom
# Volume: 17.51 Å³/atom
data_NaPuF4
_chemical_formula_sum 'Na4 Pu4 F16'
_symmetry_space_group_name_H-M 'I 41 m d'
_symmetry_Int_Tables_number 109
_symmetry_space_group_name_Hall 'I 4bw -2'
_cell_length_a 7.5597
_cell_length_b 7.5597
_cell_length_c 7.3529
_cell_angle_alpha 90.00
_cell_angle_beta 90.00
_cell_angle_gamma 90.00
loop_
_atom_site_label
_atom_site_type_symbol
_atom_site_fract_x
_atom_site_fract_y
_atom_site_fract_z
_atom_site_occupancy
Na1 Na 0.0000 0.0000 0.0000 1
Pu1 Pu 0.0000 0.0000 0.4859 1
F1 F 0.0000 0.1927 0.2566 1
F2 F 0.0000 0.1937 0.7376 1

***

No. 11
# Sc2BeHg, optimized geometry, DFT PBE
# ΔE_f: 0.449 eV per atom
# Calculated total energy: -3.7238 eV/atom
# Volume: 21.95 Å³/atom
# Energy above the most stable polymorph in this dataset: 0.686 eV per atom
data_Sc2BeHg
_chemical_formula_sum 'Sc8 Be4 Hg4'
_symmetry_space_group_name_H-M 'I -4 2 d'
_symmetry_Int_Tables_number 122
_symmetry_space_group_name_Hall 'I -4 2bw'
_cell_length_a 4.2902
_cell_length_b 4.2902
_cell_length_c 19.0824
_cell_angle_alpha 90.00
_cell_angle_beta 90.00
_cell_angle_gamma 90.00
loop_
_atom_site_label
_atom_site_type_symbol
_atom_site_fract_x
_atom_site_fract_y
_atom_site_fract_z
_atom_site_occupancy
Sc1 Sc 0.2365 0.2500 0.1250 1
Be1 Be 0.0000 0.0000 0.0000 1
Hg1 Hg 0.0000 0.0000 0.5000 1

***

No. 12
# K2UCu2S6, optimized geometry, DFT PBE
# ΔE_f (raw): -8.65 eV per formula unit
# Calculated total energy: -5.0086 eV/atom
# Volume: 26.44 Å³/atom
data_K2UCu2S6
_chemical_formula_sum 'K6 U3 Cu6 S18'
_symmetry_space_group_name_H-M 'R -3 m'
_symmetry_Int_Tables_number 166
_symmetry_space_group_name_Hall '-R 3 2"'
_cell_length_a 7.2203
_cell_length_b 7.2203
_cell_length_c 19.3286
_cell_angle_alpha 90.00
_cell_angle_beta 90.00
_cell_angle_gamma 120.00
loop_
_atom_site_label
_atom_site_type_symbol
_atom_site_fract_x
_atom_site_fract_y
_atom_site_fract_z
_atom_site_occupancy
K1 K 0.0000 0.0000 0.2282 1
U1 U 0.0000 0.0000 0.0000 1
Cu1 Cu 0.0000 0.0000 0.4168 1
S1 S 0.0133 0.5066 0.7477 1